DFT (GGA-PBE) results for Ac2ErCrS6 after structural relaxation.

Output
SG ... Pmmn
DFT total energy ... -6.342 eV/atom

The structure in POSCAR format:
```
Ac2ErCrS6
1.0
7.0588 0.0000 0.0000
0.0000 9.9393 0.0000
0.0000 0.0000 6.8443
Ac Er Cr S
4 2 2 12
Direct
0.2500 0.0399 0.2205
0.2500 0.4601 0.2205
0.7500 0.5399 0.7795
0.7500 0.9601 0.7795
0.2500 0.7500 0.7505
0.7500 0.2500 0.2495
0.2500 0.2500 0.7406
0.7500 0.7500 0.2594
0.0127 0.2500 0.9813
0.0304 0.2500 0.4858
0.2500 0.0122 0.7658
0.2500 0.4878 0.7658
0.4696 0.2500 0.4858
0.4873 0.2500 0.9813
0.5127 0.7500 0.0187
0.5304 0.7500 0.5142
0.7500 0.5122 0.2342
0.7500 0.9878 0.2342
0.9696 0.7500 0.5142
0.9873 0.7500 0.0187
```

=====

DFT (GGA-PBE) results for Ac2ErCrSe6 after structural relaxation.

Output
SG ... P2_1/c
DFT total energy ... -5.940 eV/atom

The structure in POSCAR format:
```
Ac2ErCrSe6
1.0
6.9558 0.0000 0.0000
0.0000 7.6203 0.0000
-6.7683 0.0000 10.2026
Ac Er Cr Se
4 2 2 12
Direct
0.2121 0.0960 0.2473
0.2121 0.4040 0.7473
0.7879 0.5960 0.2527
0.7879 0.9040 0.7527
0.5000 0.0000 0.0000
0.5000 0.5000 0.5000
0.0000 0.0000 0.5000
0.0000 0.5000 0.0000
0.1191 0.2016 0.9485
0.1191 0.2984 0.4485
0.2570 0.6800 0.9504
0.2570 0.8200 0.4504
0.3414 0.0173 0.7369
0.3414 0.4827 0.2369
0.6586 0.5173 0.7631
0.6586 0.9827 0.2631
0.7430 0.1800 0.5496
0.7430 0.3200 0.0496
0.8809 0.7016 0.5515
0.8809 0.7984 0.0515
```